(1)
CsHgCl: optimized geometry, GGA-PBE.

The structure in POSCAR format:
```
CsHgCl
1.0
-2.1437 4.1452 3.4500
-3.6986 -1.3885 4.2513
1.6936 0.3265 5.5413
Cs Hg Cl
1 1 1
Direct
0.5000 0.5000 0.5000 Cs
0.0000 0.0000 0.0000 Hg
0.2500 0.2500 0.2500 Cl
```

- Total DFT energy (no corrections): -6.5 eV/cell
- Magnetic moment: 0.00 μB per formula unit
- Calculated volume: 46.07 Å³ per atom
- E_form (uncorrected): -3.511 eV per formula unit
- ΔE to the lowest computed polymorph: 0.0812 eV/atom
- N(E_F): 0.00 states/eV/atom
- Space-group type: F-43m (216)

(2)
Cs2HgCl4: optimized geometry, GGA-PBE.

The structure in POSCAR format:
```
Cs2HgCl4
1.0
-0.8271 -5.2953 -1.2627
2.6895 -1.5079 4.5619
-6.3381 -3.2964 5.9702
Cs Hg Cl
2 1 4
Direct
0.3623 0.3623 0.2755 Cs
0.6377 0.6377 0.7245 Cs
0.0000 0.0000 0.0000 Hg
0.1550 0.1550 0.6900 Cl
0.8450 0.8450 0.3100 Cl
0.0000 0.5000 0.0000 Cl
0.5000 0.0000 0.0000 Cl
```

- Total DFT energy (no corrections): -19.3 eV/cell
- Magnetic moment: 0.00 μB per formula unit
- Calculated volume: 36.63 Å³ per atom
- E_form (uncorrected): -9.935 eV per formula unit
- ΔE to the lowest computed polymorph: 0.0136 eV/atom
- N(E_F): 0.00 states/eV/atom
- Space-group type: I4/mmm (139)

(3)
CsHgCl: optimized geometry, GGA-PBE.

The structure in POSCAR format:
```
CsHgCl
1.0
5.8892 0.0000 0.0000
0.0000 5.3546 0.0000
0.0000 -2.6773 4.6372
Cs Hg Cl
1 1 1
Direct
0.0779 0.0000 0.0000 Cs
0.6237 0.3333 0.6667 Hg
0.2984 0.6667 0.3333 Cl
```

- Total DFT energy (no corrections): -6.5 eV/cell
- Magnetic moment: 0.00 μB per formula unit
- Calculated volume: 48.74 Å³ per atom
- E_form (uncorrected): -3.464 eV per formula unit
- ΔE to the lowest computed polymorph: 0.0968 eV/atom
- N(E_F): 0.00 states/eV/atom
- Space-group type: P3m1 (156)

(4)
Cs6HgCl5: optimized geometry, GGA-PBE.

The structure in POSCAR format:
```
Cs6HgCl5
1.0
8.6501 0.2536 1.3373
2.1433 7.6182 4.4324
0.1556 0.2240 8.8211
Cs Hg Cl
6 1 5
Direct
0.7408 0.0932 0.3524 Cs
0.2592 0.5544 0.3524 Cs
0.2558 0.2735 0.0000 Cs
0.7442 0.7265 0.0000 Cs
0.7408 0.4456 0.6476 Cs
0.2592 0.9068 0.6476 Cs
0.0000 0.0000 0.0000 Hg
0.5000 0.1595 0.6809 Cl
0.0000 0.3243 0.3514 Cl
0.5000 0.5000 0.0000 Cl
0.0000 0.6757 0.6486 Cl
0.5000 0.8405 0.3191 Cl
```

- Total DFT energy (no corrections): -33.8 eV/cell
- Magnetic moment: 1.06 μB per formula unit
- Calculated volume: 47.26 Å³ per atom
- E_form (uncorrected): -19.179 eV per formula unit
- N(E_F): 0.36 states/eV/atom
- Space-group type: C2/m (12)

(5)
Cs12Hg3Cl5: optimized geometry, GGA-PBE.

The structure in POSCAR format:
```
Cs12Hg3Cl5
1.0
18.9065 0.0000 0.0000
-6.3022 17.8253 0.0000
-6.3022 -8.9126 15.4371
Hg Cl Cs
12 20 48
Direct
0.7500 0.3750 0.1250 Hg
0.8750 0.7500 0.1250 Hg
0.3750 0.7500 0.6250 Hg
0.2500 0.1250 0.3750 Hg
0.8750 0.1250 0.2500 Hg
0.3750 0.6250 0.2500 Hg
0.6250 0.3750 0.7500 Hg
0.1250 0.8750 0.7500 Hg
0.7500 0.8750 0.6250 Hg
0.6250 0.2500 0.3750 Hg
0.1250 0.2500 0.8750 Hg
0.2500 0.6250 0.8750 Hg
0.1250 0.3750 0.2500 Cl
0.0000 0.5000 0.0000 Cl
0.0000 0.0000 0.0000 Cl
0.3750 0.2500 0.1250 Cl
0.5000 0.0000 0.5000 Cl
0.5000 0.5000 0.0000 Cl
0.1250 0.7500 0.3750 Cl
0.7500 0.1250 0.8750 Cl
0.7500 0.6250 0.3750 Cl
0.3750 0.1250 0.7500 Cl
0.6250 0.8750 0.2500 Cl
0.5000 0.5000 0.5000 Cl
0.5000 0.0000 0.0000 Cl
0.0000 0.0000 0.5000 Cl
0.2500 0.3750 0.6250 Cl
0.2500 0.8750 0.1250 Cl
0.0000 0.5000 0.5000 Cl
0.8750 0.2500 0.6250 Cl
0.6250 0.7500 0.8750 Cl
0.8750 0.6250 0.7500 Cl
0.7070 0.1238 0.0313 Cs
0.3244 0.5313 0.4075 Cs
0.9687 0.3762 0.2930 Cs
0.5313 0.2070 0.1238 Cs
0.5832 0.7070 0.6756 Cs
0.9687 0.5925 0.1756 Cs
0.3244 0.7930 0.4168 Cs
0.0925 0.9168 0.1238 Cs
0.5925 0.9687 0.6756 Cs
0.7070 0.5832 0.1756 Cs
0.7930 0.4687 0.3762 Cs
0.8244 0.9075 0.0313 Cs
0.1238 0.7070 0.5313 Cs
0.3762 0.4075 0.0832 Cs
0.0832 0.9075 0.3762 Cs
0.4168 0.1238 0.5925 Cs
0.0832 0.1756 0.2070 Cs
0.4687 0.6756 0.0925 Cs
0.8244 0.9168 0.2930 Cs
0.1238 0.4168 0.0925 Cs
0.3762 0.9687 0.7930 Cs
0.5925 0.6238 0.4168 Cs
0.9075 0.8244 0.5313 Cs
0.7930 0.3244 0.9168 Cs
0.4075 0.3762 0.5832 Cs
0.0925 0.1756 0.4687 Cs
0.2070 0.6756 0.0832 Cs
0.1756 0.0832 0.7070 Cs
0.6238 0.0313 0.2070 Cs
0.8762 0.5832 0.9075 Cs
0.5313 0.3244 0.9075 Cs
0.5832 0.8762 0.4075 Cs
0.9168 0.8244 0.7930 Cs
0.9168 0.0925 0.6238 Cs
0.8762 0.2930 0.4687 Cs
0.1756 0.0925 0.9687 Cs
0.6238 0.5925 0.9168 Cs
0.4075 0.0313 0.3244 Cs
0.2930 0.4168 0.8244 Cs
0.2070 0.5313 0.6238 Cs
0.9075 0.0832 0.8762 Cs
0.6756 0.2070 0.5832 Cs
0.4687 0.7930 0.8762 Cs
0.0313 0.4075 0.8244 Cs
0.4168 0.2930 0.3244 Cs
0.0313 0.6238 0.7070 Cs
0.6756 0.4687 0.5925 Cs
0.2930 0.8762 0.9687 Cs
```

- Total DFT energy (no corrections): -157.9 eV/cell
- Magnetic moment: 0.04 μB per formula unit
- Calculated volume: 65.03 Å³ per atom
- E_form (uncorrected): -19.104 eV per formula unit
- N(E_F): 0.93 states/eV/atom
- Space-group type: Ia-3d (230)

(6)
CsHg3Cl7: optimized geometry, GGA-PBE.

The structure in POSCAR format:
```
CsHg3Cl7
1.0
7.3769 0.4415 -1.1436
-1.0454 6.7950 -0.8446
0.4317 0.4415 7.4525
Cs Hg Cl
1 3 7
Direct
0.5000 0.5000 0.5000 Cs
0.2437 0.0000 0.7563 Hg
0.0000 0.5000 0.0000 Hg
0.7563 0.0000 0.2437 Hg
0.8454 0.7297 0.8454 Cl
0.9150 0.7451 0.3557 Cl
0.6443 0.2549 0.0850 Cl
0.3557 0.7451 0.9150 Cl
0.5000 0.0000 0.5000 Cl
0.0850 0.2549 0.6443 Cl
0.1546 0.2703 0.1546 Cl
```

- Total DFT energy (no corrections): -24.1 eV/cell
- Magnetic moment: 0.02 μB per formula unit
- Calculated volume: 34.86 Å³ per atom
- E_form (uncorrected): -9.453 eV per formula unit
- N(E_F): 0.00 states/eV/atom
- Space-group type: C2/m (12)

(7)
CsHgCl: optimized geometry, GGA-PBE.

The structure in POSCAR format:
```
CsHgCl
1.0
-4.8624 0.6916 0.1810
-0.6199 -3.4824 -3.4215
-2.2998 -7.4704 7.9447
Cs Hg Cl
2 2 2
Direct
0.4140 0.8071 0.1530 Cs
0.0173 0.3103 0.8287 Cs
0.4747 0.8039 0.5268 Hg
0.9634 0.3037 0.4541 Hg
0.9161 0.3068 0.1436 Cl
0.5148 0.8100 0.8382 Cl
```

- Total DFT energy (no corrections): -13.5 eV/cell
- Magnetic moment: 0.00 μB per formula unit
- Calculated volume: 44.51 Å³ per atom
- E_form (uncorrected): -3.754 eV per formula unit
- ΔE to the lowest computed polymorph: 0.0003 eV/atom
- Space-group type: P1 (1)

(8)
CsHgCl: optimized geometry, GGA-PBE.

The structure in POSCAR format:
```
CsHgCl
1.0
6.2325 0.0000 0.0000
-3.1163 5.3975 0.0000
0.0000 0.0000 6.9974
Cs Hg Cl
2 2 2
Direct
0.3333 0.6667 0.2500 Cs
0.6667 0.3333 0.7500 Cs
0.0000 0.0000 0.0000 Hg
0.0000 0.0000 0.5000 Hg
0.3333 0.6667 0.7500 Cl
0.6667 0.3333 0.2500 Cl
```

- Total DFT energy (no corrections): -13.4 eV/cell
- Magnetic moment: 0.00 μB per formula unit
- Calculated volume: 39.23 Å³ per atom
- E_form (uncorrected): -3.686 eV per formula unit
- ΔE to the lowest computed polymorph: 0.0229 eV/atom
- N(E_F): 0.00 states/eV/atom
- Space-group type: P6_3/mmc (194)

(9)
CsHg6Cl12: optimized geometry, GGA-PBE.

The structure in POSCAR format:
```
CsHg6Cl12
1.0
0.1681 10.6775 1.1553
-0.1036 -3.4330 -10.1772
-6.7759 -5.1391 6.5612
Cs Hg Cl
1 6 12
Direct
0.0000 0.0000 0.0000 Cs
0.7313 0.2641 0.2641 Hg
0.2641 0.2641 0.7313 Hg
0.2641 0.7313 0.2641 Hg
0.7359 0.7359 0.2687 Hg
0.2687 0.7359 0.7359 Hg
0.7359 0.2687 0.7359 Hg
0.9043 0.0957 0.5000 Cl
0.9028 0.5819 0.5819 Cl
0.5819 0.5819 0.9028 Cl
0.4181 0.0972 0.4181 Cl
0.4181 0.4181 0.0972 Cl
0.0972 0.4181 0.4181 Cl
0.0957 0.5000 0.9043 Cl
0.5000 0.9043 0.0957 Cl
0.0957 0.9043 0.5000 Cl
0.9043 0.5000 0.0957 Cl
0.5000 0.0957 0.9043 Cl
0.5819 0.9028 0.5819 Cl
```

- Total DFT energy (no corrections): -36.5 eV/cell
- Magnetic moment: 0.00 μB per formula unit
- Calculated volume: 37.09 Å³ per atom
- E_form (uncorrected): -11.641 eV per formula unit
- ΔE to the lowest computed polymorph: 0.0602 eV/atom
- N(E_F): 0.19 states/eV/atom
- Space-group type: R-3m (166)

(10)
CsHgCl: optimized geometry, GGA-PBE.

The structure in POSCAR format:
```
CsHgCl
1.0
4.8409 0.0000 0.0000
0.0000 4.4844 0.0000
-1.1692 0.0000 11.5418
Cs Hg Cl
2 2 2
Direct
0.1288 0.5000 0.8710 Cs
0.7125 0.5000 0.2218 Cs
0.1291 0.0000 0.4872 Hg
0.6296 0.5000 0.5601 Hg
0.6064 0.0000 0.7852 Cl
0.1910 0.0000 0.1301 Cl
```

- Total DFT energy (no corrections): -13.3 eV/cell
- Magnetic moment: 0.00 μB per formula unit
- Calculated volume: 41.76 Å³ per atom
- E_form (uncorrected): -3.652 eV per formula unit
- ΔE to the lowest computed polymorph: 0.0342 eV/atom
- Space-group type: Pm (6)

(11)
CsHgCl: optimized geometry, GGA-PBE.

The structure in POSCAR format:
```
CsHgCl
1.0
-1.8369 -3.5569 2.8436
3.1173 1.2565 3.5854
-7.5334 7.1825 3.9148
Cs Hg Cl
2 2 2
Direct
0.2650 0.8486 0.8472 Cs
0.7698 0.3541 0.1711 Cs
0.8099 0.3482 0.5467 Hg
0.3106 0.8490 0.4724 Hg
0.7648 0.3485 0.8579 Cl
0.2692 0.8540 0.1603 Cl
```

- Total DFT energy (no corrections): -13.5 eV/cell
- Magnetic moment: 0.00 μB per formula unit
- Calculated volume: 44.72 Å³ per atom
- E_form (uncorrected): -3.754 eV per formula unit
- ΔE to the lowest computed polymorph: 0.0000 eV/atom
- Space-group type: P1 (1)

(12)
Cs8Hg6Cl: optimized geometry, GGA-PBE.

The structure in POSCAR format:
```
Cs8Hg6Cl
1.0
-4.0657 8.9949 1.3943
-9.1301 -1.7710 3.5898
0.6573 1.6899 9.8028
Cs Hg Cl
8 6 1
Direct
0.1605 0.6851 0.8691 Cs
0.1309 0.8395 0.3149 Cs
0.3149 0.1309 0.8395 Cs
0.6743 0.6743 0.6743 Cs
0.3257 0.3257 0.3257 Cs
0.6851 0.8691 0.1605 Cs
0.8691 0.1605 0.6851 Cs
0.8395 0.3149 0.1309 Cs
0.0622 0.4794 0.6318 Hg
0.3682 0.9378 0.5206 Hg
0.5206 0.3682 0.9378 Hg
0.4794 0.6318 0.0622 Hg
0.6318 0.0622 0.4794 Hg
0.9378 0.5206 0.3682 Hg
0.0000 0.0000 0.0000 Cl
```

- Total DFT energy (no corrections): -16.7 eV/cell
- Magnetic moment: 0.00 μB per formula unit
- Calculated volume: 60.11 Å³ per atom
- E_form (uncorrected): -6.219 eV per formula unit
- N(E_F): 0.75 states/eV/atom
- Space-group type: R-3 (148)

(13)
CsHgCl: optimized geometry, GGA-PBE.

The structure in POSCAR format:
```
CsHgCl
1.0
4.9133 0.0000 0.0000
-0.0010 4.9294 0.0000
-0.2342 -0.0604 10.4422
Cs Hg Cl
2 2 2
Direct
0.7421 0.7478 0.8335 Cs
0.2579 0.2522 0.1665 Cs
0.7538 0.2493 0.5034 Hg
0.2462 0.7507 0.4966 Hg
0.2419 0.2477 0.8338 Cl
0.7581 0.7523 0.1662 Cl
```

- Total DFT energy (no corrections): -13.5 eV/cell
- Magnetic moment: 0.00 μB per formula unit
- Calculated volume: 42.15 Å³ per atom
- E_form (uncorrected): -3.739 eV per formula unit
- ΔE to the lowest computed polymorph: 0.0051 eV/atom
- Space-group type: P-1 (2)

(14)
CsHgCl: optimized geometry, GGA-PBE.

The structure in POSCAR format:
```
CsHgCl
1.0
4.8124 0.0000 0.0000
0.0000 4.8124 0.0000
-2.4062 -2.4062 7.6868
Cs Hg Cl
1 1 1
Direct
0.7526 0.7526 0.5052 Cs
0.0163 0.0163 0.0326 Hg
0.2311 0.2311 0.4622 Cl
```

- Total DFT energy (no corrections): -6.6 eV/cell
- Magnetic moment: 0.00 μB per formula unit
- Calculated volume: 59.34 Å³ per atom
- E_form (uncorrected): -3.571 eV per formula unit
- ΔE to the lowest computed polymorph: 0.0613 eV/atom
- N(E_F): 0.00 states/eV/atom
- Space-group type: I4mm (107)

(15)
CsHgCl: optimized geometry, GGA-PBE.

The structure in POSCAR format:
```
CsHgCl
1.0
-0.6787 0.4312 4.8534
-19.0598 -8.4415 -1.9153
1.9182 -4.4822 0.6665
Cs Hg Cl
4 4 4
Direct
0.0000 0.3329 0.5465 Cs
0.0000 0.6671 0.5465 Cs
0.5000 0.8329 0.0465 Cs
0.5000 0.1671 0.0465 Cs
0.0000 0.5000 0.0493 Hg
0.5000 0.0000 0.5493 Hg
0.0000 0.0000 0.0506 Hg
0.5000 0.5000 0.5506 Hg
0.0000 0.8331 0.5466 Cl
0.0000 0.1669 0.5466 Cl
0.5000 0.3331 0.0466 Cl
0.5000 0.6669 0.0466 Cl
```

- Total DFT energy (no corrections): -27.0 eV/cell
- Magnetic moment: 0.00 μB per formula unit
- Calculated volume: 42.23 Å³ per atom
- E_form (uncorrected): -3.738 eV per formula unit
- ΔE to the lowest computed polymorph: 0.0055 eV/atom
- Space-group type: Imm2 (44)

(16)
Cs5HgCl8: optimized geometry, GGA-PBE.

The structure in POSCAR format:
```
Cs5HgCl8
1.0
8.7194 0.0000 -2.5123
-4.5804 7.1155 -3.2756
0.4414 0.0000 9.0634
Cs Hg Cl
5 1 8
Direct
0.0217 0.4038 0.1533 Cs
0.8467 0.8684 0.2504 Cs
0.7496 0.5962 0.6179 Cs
0.5000 0.0000 0.5000 Cs
0.3821 0.1316 0.9783 Cs
0.2500 0.5000 0.7500 Hg
0.1520 0.6867 0.9484 Cl
0.0516 0.2036 0.7383 Cl
0.7329 0.2129 0.3174 Cl
0.6826 0.4155 0.8955 Cl
0.4800 0.5845 0.2671 Cl
0.5347 0.7964 0.8480 Cl
0.2617 0.3133 0.4653 Cl
0.1045 0.7871 0.5200 Cl
```

- Total DFT energy (no corrections): -39.9 eV/cell
- Magnetic moment: 1.32 μB per formula unit
- Calculated volume: 40.73 Å³ per atom
- E_form (uncorrected): -20.574 eV per formula unit
- N(E_F): 1.45 states/eV/atom
- Space-group type: I-4 (82)

(17)
Cs5Hg2Cl: optimized geometry, GGA-PBE.

The structure in POSCAR format:
```
Cs5Hg2Cl
1.0
6.7295 -0.0014 0.0000
-3.3635 8.3704 0.0000
0.0000 0.0000 19.3751
Cs Hg Cl
10 4 2
Direct
0.9338 0.7723 0.8906 Cs
0.9338 0.7723 0.6094 Cs
0.3388 0.7729 0.3904 Cs
0.3388 0.7729 0.1096 Cs
0.6990 0.5000 0.2500 Cs
0.3010 0.5000 0.7500 Cs
0.6612 0.2271 0.6096 Cs
0.6612 0.2271 0.8904 Cs
0.0662 0.2277 0.1094 Cs
0.0662 0.2277 0.3906 Cs
0.6794 0.4996 0.4509 Hg
0.6794 0.4996 0.0491 Hg
0.3206 0.5004 0.5491 Hg
0.3206 0.5004 0.9509 Hg
0.8014 0.4997 0.7500 Cl
0.1986 0.5003 0.2500 Cl
```

- Total DFT energy (no corrections): -22.6 eV/cell
- Magnetic moment: 0.00 μB per formula unit
- Calculated volume: 68.21 Å³ per atom
- E_form (uncorrected): -4.569 eV per formula unit
- N(E_F): 0.77 states/eV/atom
- Space-group type: P2_1/m (11)

(18)
Cs4HgCl: optimized geometry, GGA-PBE.

The structure in POSCAR format:
```
Cs4HgCl
1.0
8.2844 0.2429 -2.8606
-1.9433 8.4968 -3.5403
-0.3846 -0.2242 11.6208
Cs Hg Cl
8 2 2
Direct
0.0157 0.2124 0.9096 Cs
0.7765 0.6678 0.6149 Cs
0.3939 0.6971 0.9096 Cs
0.3384 0.9471 0.6149 Cs
0.6616 0.0529 0.3851 Cs
0.6061 0.3029 0.0904 Cs
0.2235 0.3322 0.3851 Cs
0.9843 0.7876 0.0904 Cs
0.3850 0.6350 0.2699 Hg
0.6150 0.3650 0.7301 Hg
0.3039 0.0539 0.1078 Cl
0.6961 0.9461 0.8922 Cl
```

- Total DFT energy (no corrections): -19.2 eV/cell
- Magnetic moment: 0.00 μB per formula unit
- Calculated volume: 67.22 Å³ per atom
- E_form (uncorrected): -4.036 eV per formula unit
- N(E_F): 0.88 states/eV/atom
- Space-group type: C2/c (15)